[1]
ReRu2Se at its PBEsol-relaxed geometry. Source: Alexandria via LeMat-Bulk, functional meta-GGA SCAN.

Cell and atoms, written as CIF:
```
data_ReRu2Se
_chemical_formula_sum 'Re2 Ru4 Se2'
_space_group_name_H-M_alt 'I m m m'
_space_group_IT_number 71
_space_group_name_Hall '-I 2 2'
_cell_length_a 2.9046
_cell_length_b 4.3817
_cell_length_c 8.7718
_cell_angle_alpha 90.00
_cell_angle_beta 90.00
_cell_angle_gamma 90.00
loop_
_atom_site_label
_atom_site_type_symbol
_atom_site_fract_x
_atom_site_fract_y
_atom_site_fract_z
Re1 Re 0.0000 0.0000 0.0000
Ru1 Ru 0.0000 0.5000 0.2277
Se1 Se 0.0000 0.0000 0.5000
```

## Properties
ΔE_f (raw)	1.625	eV/f.u.

[2]
ReRu2Se at its PBEsol-relaxed geometry. Source: Alexandria via LeMat-Bulk, functional meta-GGA SCAN.

Cell and atoms, written as CIF:
```
data_ReRu2Se
_chemical_formula_sum 'Re3 Ru6 Se3'
_space_group_name_H-M_alt 'R -3 m'
_space_group_IT_number 166
_space_group_name_Hall '-R 3 2"'
_cell_length_a 2.8059
_cell_length_b 2.8059
_cell_length_c 24.9948
_cell_angle_alpha 90.00
_cell_angle_beta 90.00
_cell_angle_gamma 120.00
loop_
_atom_site_label
_atom_site_type_symbol
_atom_site_fract_x
_atom_site_fract_y
_atom_site_fract_z
Re1 Re 0.0000 0.0000 0.0000
Ru1 Ru 0.0000 0.0000 0.2481
Se1 Se 0.0000 0.0000 0.5000
```

## Properties
ΔE_f (raw)	0.947	eV/f.u.

[3]
Re2SiRu at its PBEsol-relaxed geometry. Source: Alexandria via LeMat-Bulk, functional meta-GGA SCAN.

Cell and atoms, written as CIF:
```
data_Re2SiRu
_chemical_formula_sum 'Re4 Si2 Ru2'
_space_group_name_H-M_alt 'I -4 m 2'
_space_group_IT_number 119
_space_group_name_Hall 'I -4 -2'
_cell_length_a 3.8191
_cell_length_b 3.8191
_cell_length_c 7.5214
_cell_angle_alpha 90.00
_cell_angle_beta 90.00
_cell_angle_gamma 90.00
loop_
_atom_site_label
_atom_site_type_symbol
_atom_site_fract_x
_atom_site_fract_y
_atom_site_fract_z
Re1 Re 0.0000 0.0000 0.0000
Re2 Re 0.0000 0.5000 0.2500
Si1 Si 0.0000 0.5000 0.7500
Ru1 Ru 0.0000 0.0000 0.5000
```

## Properties
ΔE_f (raw)	0.262	eV/f.u.

Q: Among the records above, which one has the lowest ΔE_f (raw)?
A: Re2SiRu

Q: What is the ΔE_f (raw) in the second record?
A: 0.947 eV/f.u.